Material: CaTl2CdPb
Method: DFT, PBE
State: optimized geometry

a b c (Å): 5.9611 5.9611 5.7120
angles (deg): 90.00 90.00 90.00
Closest atoms and distances in Å follow each position.
Atoms (fractional coordinates):
Ca (0.0000, 0.0000, 0.0000)  8 Tl 4.13, 4 Cd 4.22
Tl (0.0000, 0.5000, 0.5000)  2 Pb 2.98
Tl (0.5000, 0.0000, 0.5000)  2 Pb 2.98
Cd (0.5000, 0.5000, 0.0000)  2 Pb 2.86
Pb (0.5000, 0.5000, 0.5000)  2 Cd 2.86, 4 Tl 2.98

Values from the calculation:
Polymorph energy (0 for the lowest one): 282.7 meV/atom
SG: P4/mmm, No. 123
E_form: 0.2845 eV per atom
DFT total energy: -9.9 eV/f.u.